1.
A plane-wave DFT calculation with GGA-PBE was carried out for a geometry-optimized Tb6Nd3Tm2 structure.

Values from the calculation:
N(E_F) (states/eV per cell): 13.890
Uncorrected energy (eV/atom): -4.621
DFT formation energy (eV/atom): 0.02
Excess energy over the best structure of this formula in the dataset (eV/atom): 0.000
Symmetry: R-3m

Unit cell a=32.120 b=32.120 c=32.120 alpha=6.39 beta=6.39 gamma=6.39
Fractional coordinates of all 11 atoms:
Tb 0.092 0.092 0.092
Tb 0.182 0.182 0.182
Tb 0.364 0.364 0.364
Tb 0.636 0.636 0.636
Tb 0.818 0.818 0.818
Tb 0.908 0.908 0.908
Nd 0.000 0.000 0.000
Nd 0.272 0.272 0.272
Nd 0.728 0.728 0.728
Tm 0.455 0.455 0.455
Tm 0.545 0.545 0.545



2.
A plane-wave DFT calculation with GGA-PBE was carried out for a geometry-optimized ZnFeGeRh structure.

Values from the calculation:
N(E_F) (states/eV per cell): 2.177
Uncorrected energy (eV/atom): -5.616
DFT formation energy (eV/atom): -0.19
Symmetry: F-43m

Unit cell a=4.184 b=4.184 c=4.184 alpha=60.00 beta=60.00 gamma=60.00
Fractional coordinates of all 4 atoms:
Zn 0.000 0.000 0.000
Fe 0.750 0.750 0.750
Ge 0.500 0.500 0.500
Rh 0.250 0.250 0.250



3.
A plane-wave DFT calculation with GGA-PBE was carried out for a geometry-optimized MgInSeI2 structure.

Values from the calculation:
N(E_F) (states/eV per cell): 2.871
Uncorrected energy (eV/atom): -2.296
Symmetry: P4/mmm

Unit cell a=6.761 b=6.761 c=4.686 alpha=90.00 beta=90.00 gamma=90.00
Fractional coordinates of all 5 atoms:
Mg 0.000 0.000 0.000
In 0.500 0.500 0.000
Se 0.000 0.000 0.500
I 0.000 0.500 0.500
I 0.500 0.000 0.500